[1]
HfMgSe2N: optimized geometry, PBE.

Cell: 5.2938 5.2938 4.0233 Å, 90.00 90.00 90.00°
Element x y z (fractional)
Se 0.0000 0.5000 0.0000
Mg 0.5000 0.5000 0.5000
Hf 0.0000 0.0000 0.0000
Se 0.5000 0.0000 0.0000
N 0.0000 0.0000 0.5000

Results
Formation energy without anion corrections   -0.43 eV per atom
N(E_F)   0.47 states/eV/atom
Uncorrected energy   -5.79 eV per atom


[2]
TiAgSe2: optimized geometry, PBE.

Cell: 3.5808 3.5804 7.9740 Å, 77.06 77.02 60.00°
Element x y z (fractional)
Ti 0.7413 0.7416 0.7757
Se 0.0040 0.0050 0.9871
Ag 0.2528 0.2518 0.2426
Se 0.1419 0.1415 0.5746

Results
Formation energy without anion corrections   -0.69 eV per atom
N(E_F)   0.08 states/eV/atom
Uncorrected energy   -5.12 eV per atom


[3]
CsTlNF2: optimized geometry, PBE.

Cell: 4.9090 4.9090 4.1659 Å, 90.00 90.00 90.00°
Element x y z (fractional)
Tl 0.0000 0.0000 0.0000
N 0.0000 0.0000 0.5000
F 0.5000 0.0000 0.0000
F 0.0000 0.5000 0.0000
Cs 0.5000 0.5000 0.5000

Results
Formation energy without anion corrections   -0.92 eV per atom
N(E_F)   0.39 states/eV/atom
Uncorrected energy   -3.98 eV per atom


[4]
Zn4Cu2Au: optimized geometry, PBE.

Cell: 6.5465 6.5465 6.5465 Å, 109.57 109.28 109.57°
Element x y z (fractional)
Zn 0.4638 0.0716 0.2183
Zn 0.1422 0.4284 0.3967
Zn 0.6078 0.7544 0.5362
Zn 0.6033 0.7456 0.0317
Zn 0.2862 0.2544 0.8578
Cu 0.3750 0.8861 0.7611
Zn 0.7817 0.2456 0.8533
Cu 0.5111 0.3861 0.6250
Zn 0.1467 0.9284 0.3922
Au 0.0000 0.0000 0.0000
Zn 0.9683 0.5716 0.7138
Cu 0.8750 0.1139 0.4889
Au 0.7500 0.5000 0.2500
Cu 0.2389 0.6139 0.1250

Results
N(E_F)   0.36 states/eV/atom
Uncorrected energy   -2.33 eV per atom
E_form   0.03 eV per atom


[5]
CuIr: optimized geometry, PBE.

Cell: 2.7039 4.4086 4.5510 Å, 90.00 90.00 90.00°
Element x y z (fractional)
Ir 0.5000 0.5000 0.8070
Cu 0.0000 0.5000 0.3052
Cu 0.0000 0.0000 0.0281
Ir 0.5000 0.0000 0.5264

Results
N(E_F)   1.25 states/eV/atom
Uncorrected energy   -6.28 eV per atom
E_form   0.20 eV per atom


[6]
ScTcP2: optimized geometry, PBE.

Cell: 5.3583 5.3583 7.1083 Å, 67.86 67.86 90.00°
Element x y z (fractional)
Sc 0.5000 0.5000 0.0000
P 0.0721 0.6250 0.2500
Tc 0.7500 0.2500 0.5000
P 0.3750 0.3221 0.7500
Sc 0.2500 0.7500 0.5000
P 0.8750 0.9279 0.7500
P 0.6779 0.1250 0.2500
Tc 0.0000 0.0000 0.0000

Results
N(E_F)   0.54 states/eV/atom
Uncorrected energy   -7.28 eV per atom
E_form   -0.40 eV per atom


[7]
AcPr2Nd5Er: optimized geometry, PBE.

Cell: 9.0479 9.0479 10.2501 Å, 116.19 116.19 90.00°
Element x y z (fractional)
Pr 0.6174 0.1174 0.0000
Ac 0.2500 0.2500 0.5000
Nd 0.8408 0.9289 0.2697
Nd 0.5711 0.6592 0.7303
Ac 0.7500 0.7500 0.5000
Pr 0.8826 0.6174 0.0000
Pr 0.3826 0.8826 0.0000
Er 0.7500 0.2500 0.5000
Nd 0.6592 0.1592 0.7303
Nd 0.3408 0.8408 0.2697
Nd 0.9289 0.4289 0.2697
Er 0.2500 0.7500 0.5000
Nd 0.1592 0.0711 0.7303
Nd 0.5000 0.5000 0.0000
Nd 0.0000 0.0000 0.0000
Nd 0.0711 0.5711 0.7303
Pr 0.1174 0.3826 0.0000
Nd 0.4289 0.3408 0.2697

Results
N(E_F)   1.32 states/eV/atom
Uncorrected energy   -4.42 eV per atom
E_form   0.25 eV per atom


[8]
TlGeSeBr2: optimized geometry, PBE.

Cell: 5.4918 5.4918 5.0856 Å, 90.00 90.00 90.00°
Element x y z (fractional)
Se 0.0000 0.0000 0.5000
Ge 0.0000 0.0000 0.0000
Br 0.5000 0.0000 0.0000
Br 0.0000 0.5000 0.0000
Tl 0.5000 0.5000 0.5000

Results
Formation energy without anion corrections   -0.36 eV per atom
N(E_F)   1.22 states/eV/atom
Uncorrected energy   -3.12 eV per atom


[9]
Ta2CoBr: optimized geometry, PBE.

Cell: 5.3066 5.3066 5.3066 Å, 138.04 138.04 60.84°
Element x y z (fractional)
Ta 0.0000 0.0000 0.0000
Co 0.7500 0.2500 0.5000
Br 0.5000 0.5000 0.0000
Ta 0.2500 0.7500 0.5000

Results
Formation energy without anion corrections   0.82 eV per atom
N(E_F)   1.20 states/eV/atom
Uncorrected energy   -7.30 eV per atom


[10]
Tm5Ag2Hg2: optimized geometry, PBE.

Cell: 7.4518 7.4161 9.1551 Å, 113.89 90.00 90.00°
Element x y z (fractional)
Tm 0.3281 0.9594 0.2743
Hg 0.0000 0.7826 0.5652
Tm 0.0000 0.0000 0.0000
Tm 0.5000 0.5000 0.0000
Tm 0.6719 0.0406 0.7257
Tm 0.1719 0.1852 0.7257
Tm 0.8281 0.5406 0.7257
Tm 0.8281 0.8148 0.2743
Tm 0.1719 0.4594 0.2743
Tm 0.6719 0.3148 0.2743
Ag 0.6315 0.8706 0.0000
Tm 0.3281 0.6852 0.7257
Hg 0.5000 0.7174 0.4348
Hg 0.5000 0.2826 0.5652
Hg 0.0000 0.2174 0.4348
Ag 0.3685 0.1294 0.0000
Ag 0.1315 0.6294 0.0000
Ag 0.8685 0.3706 0.0000

Results
N(E_F)   0.92 states/eV/atom
Uncorrected energy   -3.49 eV per atom
E_form   -0.30 eV per atom


[11]
K2As2Ru: optimized geometry, PBE.

Cell: 9.5866 9.5866 2.8579 Å, 90.00 90.00 90.00°
Element x y z (fractional)
K 0.8811 0.6189 0.0000
As 0.6809 0.8191 0.5000
Ru 0.5000 0.5000 0.0000
K 0.1189 0.3811 0.0000
As 0.8191 0.3191 0.5000
As 0.3191 0.1809 0.5000
Ru 0.0000 0.0000 0.0000
K 0.3811 0.8811 0.0000
As 0.1809 0.6809 0.5000
K 0.6189 0.1189 0.0000

Results
N(E_F)   0.95 states/eV/atom
Uncorrected energy   -3.32 eV per atom
E_form   0.83 eV per atom


[12]
EuPaGe4: optimized geometry, PBE.

Cell: 5.6142 5.6142 5.6142 Å, 60.00 60.00 60.00°
Element x y z (fractional)
Ge 0.6244 0.6244 0.6244
Ge 0.6244 0.1267 0.6244
Pa 0.2500 0.2500 0.2500
Ge 0.1267 0.6244 0.6244
Ge 0.6244 0.6244 0.1267
Eu 0.0000 0.0000 0.0000

Results
N(E_F)   1.25 states/eV/atom
Uncorrected energy   -6.56 eV per atom
E_form   -0.19 eV per atom


[13]
PrTm2Sb: optimized geometry, PBE.

Cell: 4.1396 6.5081 9.4819 Å, 90.00 90.00 108.54°
Element x y z (fractional)
Tm 0.6377 0.2753 0.4581
Tm 0.3623 0.7247 0.9581
Tm 0.3623 0.7247 0.5419
Pr 0.0544 0.1090 0.7500
Sb 0.2364 0.4725 0.2500
Pr 0.9456 0.8910 0.2500
Sb 0.7636 0.5275 0.7500
Tm 0.6377 0.2753 0.0419

Results
Formation energy without anion corrections   -0.55 eV per atom
N(E_F)   1.40 states/eV/atom
Uncorrected energy   -5.01 eV per atom


[14]
RbBiSb2: optimized geometry, PBE.

Cell: 4.4715 7.1307 19.3606 Å, 90.00 90.00 90.00°
Element x y z (fractional)
Sb 0.2500 0.0996 0.5333
Bi 0.2500 0.0170 0.3192
Sb 0.2500 0.4004 0.0333
Rb 0.7500 0.1078 0.9087
Sb 0.7500 0.3898 0.7181
Sb 0.2500 0.8898 0.7819
Sb 0.2500 0.6102 0.2819
Sb 0.7500 0.1102 0.2181
Rb 0.2500 0.6078 0.5913
Sb 0.7500 0.9004 0.4667
Sb 0.7500 0.5996 0.9667
Rb 0.2500 0.8922 0.0913
Bi 0.2500 0.4830 0.8192
Bi 0.7500 0.5170 0.1808
Rb 0.7500 0.3922 0.4087
Bi 0.7500 0.9830 0.6808

Results
Formation energy without anion corrections   -0.17 eV per atom
N(E_F)   0.23 states/eV/atom
Uncorrected energy   -3.44 eV per atom


[15]
HfMnN3: optimized geometry, PBE.

Cell: 4.1376 4.1376 4.1376 Å, 90.00 90.00 90.00°
Element x y z (fractional)
N 0.0000 0.0000 0.5000
N 0.5000 0.0000 0.0000
Mn 0.5000 0.5000 0.5000
N 0.0000 0.5000 0.0000
Hf 0.0000 0.0000 0.0000

Results
Formation energy without anion corrections   0.61 eV per atom
N(E_F)   0.48 states/eV/atom
Uncorrected energy   -8.21 eV per atom


[16]
NiPdPb2N: optimized geometry, PBE.

Cell: 5.2691 4.6735 5.2691 Å, 90.00 90.00 90.00°
Element x y z (fractional)
Pd 0.0000 0.0000 0.0000
Pb 0.0000 0.0000 0.5000
Ni 0.0000 0.5000 0.0000
Pb 0.5000 0.0000 0.0000
N 0.5000 0.5000 0.5000

Results
Formation energy without anion corrections   1.38 eV per atom
N(E_F)   1.27 states/eV/atom
Uncorrected energy   -3.96 eV per atom


[17]
AlFeBr2: optimized geometry, PBE.

Cell: 9.3855 9.3855 9.3855 Å, 20.91 20.91 20.91°
Element x y z (fractional)
Br 0.2166 0.2166 0.2166
Br 0.0294 0.0294 0.0294
Al 0.7612 0.7612 0.7612
Fe 0.4928 0.4928 0.4928

Results
Formation energy without anion corrections   -0.28 eV per atom
N(E_F)   0.27 states/eV/atom
Uncorrected energy   -4.16 eV per atom


[18]
Sr3Sn3Pd2: optimized geometry, PBE.

Cell: 4.7948 6.2117 16.2759 Å, 90.00 90.00 112.70°
Element x y z (fractional)
Sr 0.3663 0.7325 0.7500
Sr 0.9226 0.8451 0.3889
Sr 0.0774 0.1549 0.6111
Pd 0.7894 0.5788 0.6012
Pd 0.2106 0.4212 0.1013
Sr 0.0774 0.1549 0.8889
Sn 0.6664 0.3328 0.7500
Sn 0.3336 0.6672 0.2500
Sr 0.9226 0.8451 0.1111
Sn 0.6367 0.2734 0.4644
Sn 0.3633 0.7266 0.5356
Sn 0.6367 0.2734 0.0356
Pd 0.7894 0.5788 0.8988
Sr 0.6337 0.2675 0.2500
Pd 0.2106 0.4212 0.3988
Sn 0.3633 0.7266 0.9644

Results
N(E_F)   0.74 states/eV/atom
Uncorrected energy   -4.14 eV per atom
E_form   -0.71 eV per atom


[19]
Sm4MgRh2: optimized geometry, PBE.

Cell: 4.7754 4.7754 10.1501 Å, 76.39 76.39 60.00°
Element x y z (fractional)
Sm 0.7973 0.7973 0.6082
Sm 0.2027 0.2027 0.3918
Rh 0.0959 0.0959 0.7124
Sm 0.6090 0.6090 0.1731
Rh 0.9041 0.9041 0.2876
Sm 0.3910 0.3910 0.8269
Mg 0.0000 0.0000 0.0000

Results
N(E_F)   0.86 states/eV/atom
Uncorrected energy   -5.42 eV per atom
E_form   -0.39 eV per atom


[20]
Ta2InRe: optimized geometry, PBE.

Cell: 4.1554 2.9980 6.2740 Å, 68.07 90.00 90.00°
Element x y z (fractional)
Re 0.5000 0.7500 0.7500
In 0.5000 0.2500 0.2500
Ta 0.0000 0.9560 0.9748
Ta 0.0000 0.5440 0.5252

Results
N(E_F)   0.58 states/eV/atom
Uncorrected energy   -9.62 eV per atom
E_form   0.10 eV per atom